Material: Ta2TlCd
Method: DFT, PBE
State: optimized geometry Values from VASP.

Cell and atoms, written as Quantum ESPRESSO input:
```
&SYSTEM
  ibrav = 0, nat = 8, ntyp = 3
/
ATOMIC_SPECIES
Ta 180.95 Ta.upf
Cd 112.41 Cd.upf
Tl 204.38 Tl.upf
CELL_PARAMETERS angstrom
-4.4836 2.2578 -5.8682
2.7695 -5.7614 -4.3327
-2.9634 -3.4758 -4.1544
ATOMIC_POSITIONS crystal
Ta 0.1258 0.6250 0.2500
Ta 0.8750 0.8742 0.7500
Ta 0.6242 0.1250 0.2500
Ta 0.3750 0.3758 0.7500
Cd 0.5000 0.5000 0.0000
Cd 0.2500 0.7500 0.5000
Tl 0.7500 0.2500 0.5000
Tl 0.0000 0.0000 0.0000
```

Computed properties:
M_tot   0.00 μB/f.u.
DFT formation energy   938 meV per atom
Total DFT energy (no corrections)   -46.5 eV/cell

---

Material: Zn3In2O6
Method: DFT, PBE
State: optimized geometry Values from VASP.

Cell and atoms, written as Quantum ESPRESSO input:
```
&SYSTEM
  ibrav = 0, nat = 44, ntyp = 3
/
ATOMIC_SPECIES
O 16.00 O.upf
In 114.82 In.upf
Zn 65.41 Zn.upf
CELL_PARAMETERS angstrom
6.8247 0.0000 0.0000
0.0000 5.9051 -0.0004
0.0000 1.9600 14.3588
ATOMIC_POSITIONS crystal
O 0.0032 0.6918 0.9277
O 0.0014 0.1887 0.4288
O 0.2500 0.5755 0.7536
O 0.0148 0.0749 0.7454
O 0.2500 0.1876 0.9284
O 0.7500 0.6956 0.4295
O 0.7500 0.3015 0.6044
O 0.7500 0.4245 0.2464
O 0.4986 0.1887 0.4288
O 0.5014 0.8113 0.5712
O 0.2500 0.6985 0.3956
O 0.7500 0.8124 0.0716
O 0.9986 0.8113 0.5712
O 0.5032 0.3083 0.0723
O 0.5148 0.9251 0.2546
O 0.9968 0.3083 0.0723
O 0.4968 0.6918 0.9277
O 0.9852 0.9251 0.2546
O 0.7500 0.1939 0.9200
O 0.4852 0.0749 0.7454
O 0.7500 0.6082 0.7471
O 0.2500 0.3044 0.5705
O 0.2500 0.8061 0.0800
O 0.2500 0.3918 0.2529
In 0.7500 0.3704 0.3958
In 0.5000 0.0000 0.0000
In 0.2500 0.7543 0.2326
In 0.7500 0.2457 0.7674
In 0.2500 0.6296 0.6042
In 0.7500 0.5011 0.9981
In 0.0000 0.0000 0.0000
In 0.2500 0.4989 0.0019
Zn 0.5005 0.8649 0.4096
Zn 0.0005 0.1351 0.5904
Zn 0.9995 0.8649 0.4096
Zn 0.7500 0.6428 0.5904
Zn 0.2500 0.2279 0.7896
Zn 0.0018 0.7396 0.7889
Zn 0.2500 0.3572 0.4096
Zn 0.9982 0.2604 0.2111
Zn 0.4982 0.7396 0.7889
Zn 0.7500 0.7721 0.2104
Zn 0.4995 0.1351 0.5904
Zn 0.5018 0.2604 0.2111
```

Computed properties:
M_tot   0.00 μB/f.u.
Excess energy over the best structure of this formula in the dataset   0 kJ/mol of formula units
Total DFT energy (no corrections)   -220.7 eV/cell

---

Material: Nd5AsP4
Method: DFT, PBE
State: optimized geometry Values from VASP.

Cell and atoms, written as Quantum ESPRESSO input:
```
&SYSTEM
  ibrav = 0, nat = 10, ntyp = 3
/
ATOMIC_SPECIES
P 30.97 P.upf
Nd 144.24 Nd.upf
As 74.92 As.upf
CELL_PARAMETERS angstrom
-0.8495 -1.8491 3.6638
2.0127 -5.1455 -2.1303
9.0354 5.8454 2.6480
ATOMIC_POSITIONS crystal
P 0.6003 0.6003 0.2005
P 0.3997 0.3997 0.7995
P 0.2010 0.2010 0.4020
P 0.7990 0.7990 0.5980
Nd 0.0000 0.5000 0.0000
Nd 0.1997 0.6997 0.3994
Nd 0.3972 0.8972 0.7944
Nd 0.6028 0.1028 0.2056
Nd 0.8003 0.3003 0.6006
As 0.0000 0.0000 0.0000
```

Computed properties:
M_tot   0.00 μB/f.u.
DFT formation energy   -1531 meV per atom
Total DFT energy (no corrections)   -65.4 eV/cell

---

What did the first record say?
Material: Ta2TlCd
Method: DFT, PBE
State: optimized geometry Values from VASP.

Cell and atoms, written as Quantum ESPRESSO input:
```
&SYSTEM
  ibrav = 0, nat = 8, ntyp = 3
/
ATOMIC_SPECIES
Ta 180.95 Ta.upf
Cd 112.41 Cd.upf
Tl 204.38 Tl.upf
CELL_PARAMETERS angstrom
-4.4836 2.2578 -5.8682
2.7695 -5.7614 -4.3327
-2.9634 -3.4758 -4.1544
ATOMIC_POSITIONS crystal
Ta 0.1258 0.6250 0.2500
Ta 0.8750 0.8742 0.7500
Ta 0.6242 0.1250 0.2500
Ta 0.3750 0.3758 0.7500
Cd 0.5000 0.5000 0.0000
Cd 0.2500 0.7500 0.5000
Tl 0.7500 0.2500 0.5000
Tl 0.0000 0.0000 0.0000
```

Computed properties:
M_tot   0.00 μB/f.u.
DFT formation energy   938 meV per atom
Total DFT energy (no corrections)   -46.5 eV/cell